No. 1
# La2InMo

A geometry-optimized La2InMo structure (PBE, the Alexandria database).

abc: 4.8869 4.9959 8.9915
angles: 90.00 90.00 90.00
With the nearest neighbours (Å) after each atom.
Space group Cmmm (No. 65)
Inequivalent atoms, fractional coordinates:
La  0.0000  0.0000  0.2111 x4  4 Mo 3.09-3.14
In  0.0000  0.5000  0.5000 x2  4 In 3.49, 8 La 3.57-3.60
Mo  0.0000  0.5000  0.0000 x2  8 La 3.09-3.14

Summary:
DFT formation energy	0.571	eV per formula unit

=====

No. 2
# LaIn2Mo

A geometry-optimized LaIn2Mo structure (PBE, the Alexandria database).

abc: 4.5790 4.5790 9.3422
angles: 90.00 90.00 90.00
With the nearest neighbours (Å) after each atom.
Space group I-4m2 (No. 119)
Inequivalent atoms, fractional coordinates:
La  0.0000  0.0000  0.0000 x2  8 In 3.24-3.27, 4 Mo 3.27
In  0.0000  0.0000  0.5000 x2  4 La 3.24, 4 Mo 3.27, 4 In 3.27
In  0.0000  0.5000  0.2500 x2  4 Mo 3.24, 4 In 3.27, 4 La 3.27
Mo  0.0000  0.5000  0.7500 x2  8 In 3.24-3.27, 4 La 3.27

Summary:
offset from the most stable computed form	208.7	meV/atom
DFT formation energy	1.189	eV per formula unit

=====

No. 3
# LaInMo

A geometry-optimized LaInMo structure (PBE, the Alexandria database).

abc: 5.6233 6.5469 7.8317
angles: 90.00 90.00 90.00
With the nearest neighbours (Å) after each atom.
Space group Imm2 (No. 44)
Inequivalent atoms, fractional coordinates:
La  0.0000  0.0000  0.0000 x2  2 Mo 3.14, 4 In 3.36
La  0.0000  0.5000  0.2012 x2  2 Mo 3.03, 4 In 3.34
In  0.0000  0.2452  0.5966 x4  4 Mo 2.90-2.93, 1 In 3.21
Mo  0.2300  0.5000  0.8513 x4  1 Mo 2.59

Summary:
offset from the most stable computed form	0.0	meV/atom
DFT formation energy	-0.151	eV per formula unit